Material: LaRhNO2
Method: DFT, PBE
State: optimized geometry

size of the total moment: 4.4 μB/cell
DFT total energy: -29.167 eV/cell
raw formation energy: 1.4 eV per formula unit
calculated volume: 95.5 Å³/f.u.

```
LaRhNO2
1.0
4.439 0.000 0.000
0.000 4.439 0.000
0.000 0.000 4.846
N Rh O La
1 1 2 1
direct
0.000 0.000 0.500 N
0.500 0.500 0.500 Rh
0.000 0.500 0.000 O
0.500 0.000 0.000 O
0.000 0.000 0.000 La
```

---

Material: Tb6HoTm3Sc2
Method: DFT, PBE
State: optimized geometry

formation enthalpy at 0 K: 0.0357 eV per atom
size of the total moment: 0.0 μB/cell
DFT total energy: -58.008 eV/cell
calculated volume: 359.7 Å³/f.u.

```
Tb6HoTm3Sc2
1.0
6.054 0.001 0.005
-3.025 5.245 0.005
-1.016 -1.759 11.323
Tb Ho Tm Sc
6 1 3 2
direct
0.918 0.582 0.754 Tb
0.747 0.747 0.246 Tb
0.082 0.418 0.246 Tb
0.582 0.918 0.754 Tb
0.253 0.253 0.754 Tb
0.418 0.082 0.246 Tb
0.000 0.000 0.000 Ho
0.167 0.833 0.500 Tm
0.833 0.167 0.500 Tm
0.500 0.500 0.500 Tm
0.333 0.667 0.000 Sc
0.667 0.333 0.000 Sc
```